No. 1
Density functional theory data (PBE) for a relaxed SrHf2CrCd crystal.

Cell and atoms, written as POSCAR:
```
SrHf2CrCd
1.0
5.140 0.000 0.000
0.000 5.339 0.000
0.000 0.000 5.140
Sr Hf Cr Cd
1 2 1 1
Direct
0.000 0.000 0.000
0.000 0.000 0.500
0.500 0.000 0.000
0.500 0.500 0.500
0.000 0.500 0.000
```

## Properties
energy	-3.857	eV/atom
energy relative to the elements	2.5681	eV per atom


No. 2
Density functional theory data (PBE) for a relaxed HfTa2CrCd crystal.

Cell and atoms, written as POSCAR:
```
HfTa2CrCd
1.0
4.984 0.000 0.000
0.000 4.585 0.000
0.000 0.000 4.984
Cr Cd Hf Ta
1 1 1 2
Direct
0.000 0.500 0.000
0.000 0.000 0.000
0.500 0.500 0.500
0.000 0.000 0.500
0.500 0.000 0.000
```

## Properties
energy	-6.810	eV/atom
ΔE to the lowest computed polymorph	0.000	eV/atom
energy relative to the elements	2.0294	eV per atom


No. 3
Density functional theory data (PBE) for a relaxed HfTa2CrCd crystal.

Cell and atoms, written as POSCAR:
```
HfTa2CrCd
1.0
-3.347 -1.615 3.169
-0.783 -4.240 -2.988
3.482 -2.379 2.464
Cr Cd Hf Ta
1 1 1 2
Direct
0.500 0.500 0.500
0.000 0.500 0.000
0.000 0.000 0.000
0.000 0.000 0.500
0.500 0.000 0.000
```

## Properties
energy	-6.572	eV/atom
ΔE to the lowest computed polymorph	0.238	eV/atom
energy relative to the elements	2.2671	eV per atom


No. 4
Density functional theory data (PBE) for a relaxed HfCrCdTe2 crystal.

Cell and atoms, written as POSCAR:
```
HfCrCdTe2
1.0
-4.113 3.151 -1.827
-2.316 -3.997 -1.680
-2.562 -0.545 4.829
Cr Te Hf Cd
1 2 1 1
Direct
0.000 0.500 0.000
0.000 0.000 0.500
0.500 0.000 0.000
0.500 0.500 0.500
0.000 0.000 0.000
```

## Properties
energy	-4.278	eV/atom


No. 5
Density functional theory data (PBE) for a relaxed HfCr2CdW crystal.

Cell and atoms, written as POSCAR:
```
HfCr2CdW
1.0
4.585 0.000 0.000
0.000 4.936 0.000
0.000 0.000 4.585
Cr Hf W Cd
2 1 1 1
Direct
0.000 0.000 0.500
0.500 0.000 0.000
0.500 0.500 0.500
0.000 0.500 0.000
0.000 0.000 0.000
```

## Properties
energy	-6.324	eV/atom
energy relative to the elements	2.2899	eV per atom


No. 6
Density functional theory data (PBE) for a relaxed CrCd2Hg crystal.

Cell and atoms, written as POSCAR:
```
CrCd2Hg
1.0
-3.103 3.717 -1.903
-2.438 -2.598 3.791
1.182 2.120 2.213
Cd Cr Hg
2 1 1
Direct
0.000 0.000 0.000
0.500 0.500 0.000
0.500 0.000 0.500
0.000 0.500 0.500
```

## Properties
energy	-2.646	eV/atom
energy relative to the elements	0.2932	eV per atom


No. 7
Density functional theory data (PBE) for a relaxed CrCd2Hg crystal.

Cell and atoms, written as POSCAR:
```
CrCd2Hg
1.0
5.338 0.002 -0.062
4.357 3.084 -0.062
1.010 0.322 5.020
Cd Cr Hg
2 1 1
Direct
0.008 0.008 0.988
0.492 0.492 0.512
0.750 0.750 0.750
0.250 0.250 0.250
```

## Properties
energy	-2.655	eV/atom
energy relative to the elements	0.2840	eV per atom


No. 8
Density functional theory data (PBE) for a relaxed CrCd2Hg2 crystal.

Cell and atoms, written as POSCAR:
```
CrCd2Hg2
1.0
7.443 0.000 0.000
0.000 7.443 0.000
0.000 0.000 4.210
Cr Hg Cd
2 4 4
Direct
0.000 0.000 0.000
0.500 0.500 0.000
0.353 0.853 0.000
0.853 0.647 0.000
0.647 0.147 0.000
0.147 0.353 0.000
0.160 0.660 0.500
0.660 0.840 0.500
0.840 0.340 0.500
0.340 0.160 0.500
```

## Properties
energy	-2.076	eV/atom
energy relative to the elements	0.3357	eV per atom


No. 9
Density functional theory data (PBE) for a relaxed CrCdHg3 crystal.

Cell and atoms, written as POSCAR:
```
CrCdHg3
1.0
-0.738 1.217 5.208
-4.356 -3.188 0.128
3.104 -4.184 1.418
Cr Hg Cd
1 3 1
Direct
0.000 0.000 0.000
0.000 0.500 0.000
0.000 0.000 0.500
0.500 0.000 0.000
0.500 0.500 0.500
```

## Properties
energy	-1.865	eV/atom
ΔE to the lowest computed polymorph	0.000	eV/atom
energy relative to the elements	0.4236	eV per atom


No. 10
Density functional theory data (PBE) for a relaxed CrCdHg2 crystal.

Cell and atoms, written as POSCAR:
```
CrCdHg2
1.0
-2.882 0.483 4.583
0.327 -0.323 5.416
0.785 4.702 1.526
Cd Cr Hg
1 1 2
Direct
0.489 0.489 0.495
0.751 0.751 0.770
0.013 0.013 0.966
0.248 0.248 0.270
```

## Properties
energy	-2.484	eV/atom
energy relative to the elements	0.3011	eV per atom


No. 11
Density functional theory data (PBE) for a relaxed CrCd2Hg crystal.

Cell and atoms, written as POSCAR:
```
CrCd2Hg
1.0
5.157 0.009 -0.052
4.152 3.059 -0.052
0.990 0.326 5.260
Cd Cr Hg
2 1 1
Direct
0.000 0.000 0.994
0.756 0.756 0.743
0.500 0.500 0.498
0.244 0.244 0.266
```

## Properties
energy	-2.664	eV/atom
energy relative to the elements	0.2752	eV per atom


No. 12
Density functional theory data (PBE) for a relaxed CrCd2Hg crystal.

Cell and atoms, written as POSCAR:
```
CrCd2Hg
1.0
4.867 0.000 0.000
2.433 4.215 0.000
2.433 1.405 3.974
Cd Cr Hg
2 1 1
Direct
0.000 0.000 0.000
0.250 0.250 0.250
0.500 0.500 0.500
0.750 0.750 0.750
```

## Properties
energy	-2.670	eV/atom
energy relative to the elements	0.2685	eV per atom


No. 13
Density functional theory data (PBE) for a relaxed CrCd2Hg crystal.

Cell and atoms, written as POSCAR:
```
CrCd2Hg
1.0
5.404 -0.038 0.000
2.028 5.009 0.000
-3.716 -2.485 3.036
Cd Cr Hg
2 1 1
Direct
0.000 0.000 0.000
0.500 0.500 0.000
0.250 0.750 0.500
0.750 0.250 0.500
```

## Properties
energy	-2.680	eV/atom
energy relative to the elements	0.2584	eV per atom


No. 14
Density functional theory data (PBE) for a relaxed CrCd2Hg crystal.

Cell and atoms, written as POSCAR:
```
CrCd2Hg
1.0
-0.711 5.951 -5.309
-7.774 0.673 1.796
-3.601 5.228 0.305
Cr Hg Cd
2 2 4
Direct
0.500 0.500 0.000
0.250 0.750 0.500
0.000 0.000 0.000
0.750 0.250 0.500
0.617 0.125 0.250
0.133 0.625 0.250
0.375 0.383 0.750
0.875 0.867 0.750
```

## Properties
energy	-2.509	eV/atom
energy relative to the elements	0.4299	eV per atom


Number 1: Fermi-level density of states 7.5 states/eV per cell. Number 2: Fermi-level density of states 10.3 states/eV per cell. Number 3: Fermi-level density of states 5.3 states/eV per cell. Number 4: Fermi-level density of states 3.2 states/eV per cell. Number 5: Fermi-level density of states 11.4 states/eV per cell. Number 6: Fermi-level density of states 2.1 states/eV per cell. Number 7: Fermi-level density of states 1.6 states/eV per cell. Number 8: Fermi-level density of states 4.3 states/eV per cell. Number 9: Fermi-level density of states 2.2 states/eV per cell. Number 10: Fermi-level density of states 1.5 states/eV per cell. Number 11: Fermi-level density of states 1.9 states/eV per cell. Number 12: Fermi-level density of states 1.9 states/eV per cell. Number 13: Fermi-level density of states 1.7 states/eV per cell. Number 14: Fermi-level density of states 3.2 states/eV per cell.